[1]
# Pu2Ga2Pd3 | Alexandria via LeMat-Bulk | PBE | optimized geometry
data_Pu2Ga2Pd3
_cell_length_a 12.095
_cell_length_b 3.279
_cell_length_c 7.527
_cell_angle_alpha 90.00
_cell_angle_beta 124.62
_cell_angle_gamma 90.00
_space_group_name_H-M_alt 'C 1 2/m 1'
_space_group_IT_number 12
_space_group_name_Hall '-C 2y'
loop_
_atom_site_label
_atom_site_fract_x
_atom_site_fract_y
_atom_site_fract_z
_atom_site_occupancy
Pu1 0.180 0.000 0.377 1
Ga1 0.170 0.000 0.783 1
Pd1 0.000 0.500 0.500 1
Pd2 0.079 0.500 0.931 1
# **Size of the total moment**: 0.0 μB/f.u.
# **Excess energy over the best structure of this formula in the dataset**: 95 meV per atom

***

[2]
# Pu2GaPd | Alexandria via LeMat-Bulk | PBE | optimized geometry
data_Pu2GaPd
_cell_length_a 3.572
_cell_length_b 3.572
_cell_length_c 5.188
_cell_angle_alpha 90.00
_cell_angle_beta 90.00
_cell_angle_gamma 90.00
_space_group_name_H-M_alt 'P 4/m m m'
_space_group_IT_number 123
_space_group_name_Hall '-P 4 2'
loop_
_atom_site_label
_atom_site_fract_x
_atom_site_fract_y
_atom_site_fract_z
_atom_site_occupancy
Pu1 0.000 0.500 0.000 1
Ga1 0.000 0.000 0.500 1
Pd1 0.500 0.500 0.500 1
# **Size of the total moment**: 0.7 μB/f.u.

***

[3]
# Pu2Ga2Pd3 | Alexandria via LeMat-Bulk | PBE | optimized geometry
data_Pu2Ga2Pd3
_cell_length_a 11.263
_cell_length_b 3.034
_cell_length_c 7.862
_cell_angle_alpha 90.00
_cell_angle_beta 95.44
_cell_angle_gamma 90.00
_space_group_name_H-M_alt 'C 1 2/m 1'
_space_group_IT_number 12
_space_group_name_Hall '-C 2y'
loop_
_atom_site_label
_atom_site_fract_x
_atom_site_fract_y
_atom_site_fract_z
_atom_site_occupancy
Pu1 0.139 0.000 0.310 1
Ga1 0.167 0.000 0.894 1
Pd1 0.000 0.500 0.000 1
Pd2 0.092 0.500 0.637 1
# **Size of the total moment**: 11.4 μB/f.u.
# **Excess energy over the best structure of this formula in the dataset**: 0 meV per atom

***

[4]
# PuGa2Pd3 | Alexandria via LeMat-Bulk | PBE | optimized geometry
data_PuGa2Pd3
_cell_length_a 16.924
_cell_length_b 4.045
_cell_length_c 9.999
_cell_angle_alpha 90.00
_cell_angle_beta 106.77
_cell_angle_gamma 90.00
_space_group_name_H-M_alt 'C 1 2/m 1'
_space_group_IT_number 12
_space_group_name_Hall '-C 2y'
loop_
_atom_site_label
_atom_site_fract_x
_atom_site_fract_y
_atom_site_fract_z
_atom_site_occupancy
Pu1 0.000 0.000 0.000 1
Pu2 0.166 0.000 0.709 1
Ga1 0.041 0.500 0.778 1
Ga2 0.138 0.500 0.458 1
Ga3 0.193 0.000 0.127 1
Pd1 0.000 0.500 0.500 1
Pd2 0.042 0.000 0.336 1
Pd3 0.114 0.500 0.194 1
Pd4 0.179 0.500 0.961 1
Pd5 0.216 0.000 0.393 1
# **Size of the total moment**: 5.6 μB/f.u.
# **Excess energy over the best structure of this formula in the dataset**: 0 meV per atom

***

[5]
# PuGaPd6 | Alexandria via LeMat-Bulk | PBE | optimized geometry
data_PuGaPd6
_cell_length_a 4.074
_cell_length_b 4.074
_cell_length_c 7.942
_cell_angle_alpha 90.00
_cell_angle_beta 90.00
_cell_angle_gamma 90.00
_space_group_name_H-M_alt 'P 4/m m m'
_space_group_IT_number 123
_space_group_name_Hall '-P 4 2'
loop_
_atom_site_label
_atom_site_fract_x
_atom_site_fract_y
_atom_site_fract_z
_atom_site_occupancy
Pu1 0.000 0.000 0.000 1
Ga1 0.000 0.000 0.500 1
Pd1 0.000 0.500 0.263 1
Pd2 0.500 0.500 0.000 1
Pd3 0.500 0.500 0.500 1
# **Size of the total moment**: 4.3 μB/f.u.

***

[6]
# Pu2Ga3Pd5 | Alexandria via LeMat-Bulk | PBE | optimized geometry
data_Pu2Ga3Pd5
_cell_length_a 4.328
_cell_length_b 24.792
_cell_length_c 6.791
_cell_angle_alpha 90.00
_cell_angle_beta 90.00
_cell_angle_gamma 90.00
_space_group_name_H-M_alt 'C m c 21'
_space_group_IT_number 36
_space_group_name_Hall 'C 2c -2'
loop_
_atom_site_label
_atom_site_fract_x
_atom_site_fract_y
_atom_site_fract_z
_atom_site_occupancy
Pu1 0.000 0.018 0.000 1
Pu2 0.000 0.324 0.015 1
Ga1 0.000 0.105 0.690 1
Ga2 0.000 0.281 0.574 1
Ga3 0.000 0.440 0.804 1
Pd1 0.000 0.114 0.271 1
Pd2 0.000 0.199 0.853 1
Pd3 0.000 0.227 0.265 1
Pd4 0.000 0.380 0.483 1
Pd5 0.000 0.456 0.189 1
# **Size of the total moment**: 10.8 μB/f.u.
# **Excess energy over the best structure of this formula in the dataset**: 7 meV per atom

***

[7]
# Pu4Ga3Pd5 | Alexandria via LeMat-Bulk | PBE | optimized geometry
data_Pu4Ga3Pd5
_cell_length_a 13.425
_cell_length_b 5.002
_cell_length_c 8.354
_cell_angle_alpha 90.00
_cell_angle_beta 121.76
_cell_angle_gamma 90.00
_space_group_name_H-M_alt 'C 1 2/m 1'
_space_group_IT_number 12
_space_group_name_Hall '-C 2y'
loop_
_atom_site_label
_atom_site_fract_x
_atom_site_fract_y
_atom_site_fract_z
_atom_site_occupancy
Pu1 0.077 0.000 0.423 1
Pu2 0.213 0.000 0.890 1
Ga1 0.000 0.500 0.000 1
Ga2 0.246 0.000 0.295 1
Pd1 0.000 0.000 0.000 1
Pd2 0.066 0.500 0.716 1
Pd3 0.168 0.500 0.334 1
# **Size of the total moment**: 23.2 μB/f.u.

***

[8]
# Pu5GaPd4 | Alexandria via LeMat-Bulk | PBE | optimized geometry
data_Pu5GaPd4
_cell_length_a 15.517
_cell_length_b 4.207
_cell_length_c 7.167
_cell_angle_alpha 90.00
_cell_angle_beta 111.20
_cell_angle_gamma 90.00
_space_group_name_H-M_alt 'C 1 2/m 1'
_space_group_IT_number 12
_space_group_name_Hall '-C 2y'
loop_
_atom_site_label
_atom_site_fract_x
_atom_site_fract_y
_atom_site_fract_z
_atom_site_occupancy
Pu1 0.000 0.000 0.000 1
Pu2 0.168 0.500 0.738 1
Pu3 0.172 0.500 0.147 1
Ga1 0.000 0.000 0.500 1
Pd1 0.029 0.500 0.320 1
Pd2 0.171 0.000 0.443 1
# **Size of the total moment**: 28.3 μB/f.u.

***

[9]
# Pu3Ga6Pd20 | Alexandria via LeMat-Bulk | PBE | optimized geometry
data_Pu3Ga6Pd20
_cell_length_a 12.531
_cell_length_b 12.531
_cell_length_c 12.531
_cell_angle_alpha 90.00
_cell_angle_beta 90.00
_cell_angle_gamma 90.00
_space_group_name_H-M_alt 'F m -3 m'
_space_group_IT_number 225
_space_group_name_Hall '-F 4 2 3'
loop_
_atom_site_label
_atom_site_fract_x
_atom_site_fract_y
_atom_site_fract_z
_atom_site_occupancy
Pu1 0.000 0.000 0.000 1
Pu2 0.250 0.250 0.250 1
Ga1 0.000 0.000 0.274 1
Pd1 0.000 0.172 0.172 1
Pd2 0.121 0.121 0.379 1
# **Size of the total moment**: 15.0 μB/f.u.

***

[10]
# Pu2GaPd | Alexandria via LeMat-Bulk | PBE | optimized geometry
data_Pu2GaPd
_cell_length_a 2.9939
_cell_length_b 2.9939
_cell_length_c 30.9531
_cell_angle_alpha 90.00
_cell_angle_beta 90.00
_cell_angle_gamma 120.00
_space_group_name_H-M_alt 'R -3 m'
_space_group_IT_number 166
_space_group_name_Hall '-R 3 2"'
loop_
_atom_site_label
_atom_site_fract_x
_atom_site_fract_y
_atom_site_fract_z
_atom_site_occupancy
Pu1 0.0000 0.0000 0.2485 1
Ga1 0.0000 0.0000 0.0000 1
Pd1 0.0000 0.0000 0.5000 1
# **Size of the total moment**: 9.8 μB/f.u.

***

[11]
# Pu2GaPd | Alexandria via LeMat-Bulk | PBE | optimized geometry
data_Pu2GaPd
_cell_length_a 3.830
_cell_length_b 3.830
_cell_length_c 5.866
_cell_angle_alpha 90.00
_cell_angle_beta 90.00
_cell_angle_gamma 90.00
_space_group_name_H-M_alt 'P 4/m m m'
_space_group_IT_number 123
_space_group_name_Hall '-P 4 2'
loop_
_atom_site_label
_atom_site_fract_x
_atom_site_fract_y
_atom_site_fract_z
_atom_site_occupancy
Pu1 0.000 0.000 0.247 1
Ga1 0.500 0.500 0.500 1
Pd1 0.500 0.500 0.000 1
# **Size of the total moment**: 11.2 μB/f.u.

***

[12]
# PuGa2Pd4 | Alexandria via LeMat-Bulk | PBE | optimized geometry
data_PuGa2Pd4
_cell_length_a 3.828
_cell_length_b 3.828
_cell_length_c 18.671
_cell_angle_alpha 90.00
_cell_angle_beta 90.00
_cell_angle_gamma 90.00
_space_group_name_H-M_alt 'I 4/m m m'
_space_group_IT_number 139
_space_group_name_Hall '-I 4 2'
loop_
_atom_site_label
_atom_site_fract_x
_atom_site_fract_y
_atom_site_fract_z
_atom_site_occupancy
Pu1 0.000 0.000 0.000 1
Ga1 0.000 0.000 0.352 1
Pd1 0.000 0.000 0.139 1
Pd2 0.000 0.500 0.250 1
# **Size of the total moment**: 5.7 μB/f.u.

***

no.,formation energy from the elements (eV per atom)
1,-0.3740
2,-0.0338
3,-0.4686
4,-0.6055
5,-0.5064
6,-0.5728
7,-0.3832
8,-0.2260
9,-0.5400
10,-0.0906
11,-0.3874
12,-0.3030